1.
Nb2ReF | PBE | optimized geometry

distance to the lowest polymorph of the same formula: 0.089 eV per atom
ΔE_f (raw): -0.088 eV per atom
final energy: -8.70 eV/atom

a b c (Å): 6.3156 6.3156 6.3156
angles (deg): 90.00 90.00 90.00
With the nearest neighbours (Å) after each atom.
Space group Fm-3m (No. 225)
Asymmetric unit:
Nb 0.2500 0.2500 0.2500 (multiplicity 8)  4 F 2.73, 4 Re 2.73
Re 0.0000 0.0000 0.0000 (multiplicity 4)  8 Nb 2.73
F 0.0000 0.0000 0.5000 (multiplicity 4)  8 Nb 2.73

***

2.
NbRe2F2 | PBE | optimized geometry

distance to the lowest polymorph of the same formula: 0.365 eV per atom
ΔE_f (raw): -0.106 eV per atom
final energy: -7.85 eV/atom

a b c (Å): 3.8849 3.8849 5.5581
angles (deg): 90.00 90.00 90.00
With the nearest neighbours (Å) after each atom.
Space group P4/mmm (No. 123)
Asymmetric unit:
Nb 0.0000 0.0000 0.0000 (multiplicity 1)  4 F 1.94
Re 0.0000 0.0000 0.5000 (multiplicity 1)  4 Re 2.75, 2 Nb 2.78
Re 0.5000 0.5000 0.5000 (multiplicity 1)  4 Re 2.75
F 0.0000 0.5000 0.0000 (multiplicity 2)  2 Nb 1.94